Computed, not measured: a PBEsol-optimized structure of MgCo2Ag at the SCAN level of DFT.

As for the crystal system: cubic. As for the formation enthalpy at 0 K: 0.23 eV/atom. Its density of states at the Fermi level is 3.7 states/eV/f.u.

The space group is F-43m (No. 216) and the conventional cell measures 6.0008, 6.0008 and 6.0008 Å, with angles of 90.00, 90.00 and 90.00 degrees. The asymmetric unit holds Mg at (0.0000, 0.0000, 0.0000), Co at (0.0000, 0.0000, 0.5000), Co at (0.2500, 0.2500, 0.7500) and Ag at (0.2500, 0.2500, 0.2500).

***

Computed, not measured: a PBEsol-optimized structure of Ca2ZnAs at the SCAN level of DFT.

For the offset from the most stable computed form, the calculation gives 0 meV/atom. As for the crystal system: orthorhombic. As for the formation enthalpy at 0 K: -0.84 eV/atom. Its density of states at the Fermi level is 0.8 states/eV/f.u.

The space group is Amm2 (No. 38) and the conventional cell measures 4.1281, 4.2360 and 10.9533 Å, with angles of 90.00, 90.00 and 90.00 degrees. The asymmetric unit holds Ca at (0.0000, 0.0000, 0.0000), Ca at (0.5000, 0.0000, 0.2795), Zn at (0.0000, 0.0000, 0.7145) and As at (0.5000, 0.0000, 0.5631).

***

Computed, not measured: a PBEsol-optimized structure of NaLiTl2Cr at the SCAN level of DFT.

As for the crystal system: tetragonal. As for the formation enthalpy at 0 K: 0.18 eV/atom. Its density of states at the Fermi level is 2.1 states/eV/f.u.

The space group is P4/mmm (No. 123) and the conventional cell measures 5.2311, 5.2311 and 5.1076 Å, with angles of 90.00, 90.00 and 90.00 degrees. The asymmetric unit holds Na at (0.0000, 0.0000, 0.0000), Li at (0.5000, 0.5000, 0.0000), Tl at (0.0000, 0.5000, 0.5000) and Cr at (0.5000, 0.5000, 0.5000).

***

Computed, not measured: a PBEsol-optimized structure of Mg2SiMo at the SCAN level of DFT.

For the formation energy without anion corrections, the calculation gives 29.4 kJ per mole of atoms. As for the crystal system: orthorhombic. Its density of states at the Fermi level is 2.5 states/eV/f.u.

The space group is Pmmm (No. 47) and the conventional cell measures 2.7627, 4.4082 and 5.3624 Å, with angles of 90.00, 90.00 and 90.00 degrees. The asymmetric unit holds Mg at (0.0000, 0.0000, 0.2446), Si at (0.5000, 0.5000, 0.5000) and Mo at (0.5000, 0.5000, 0.0000).

***

Computed, not measured: a PBEsol-optimized structure of Nb3ClO7 at the SCAN level of DFT.

For the formation energy without anion corrections, the calculation gives -250.2 kJ per mole of atoms. As for the crystal system: orthorhombic. Its density of states at the Fermi level is 0.0 states/eV/f.u.

The space group is Pnma (No. 62) and the conventional cell measures 15.7110, 10.9738 and 3.8765 Å, with angles of 90.00, 90.00 and 90.00 degrees. The asymmetric unit holds Nb at (0.0303, 0.2500, 0.0472), Nb at (0.1651, 0.5370, 0.0014), Cl at (0.2405, 0.7500, 0.0077), O at (0.0252, 0.2500, 0.5175), O at (0.0669, 0.6264, 0.9930), O at (0.1142, 0.1161, 0.0067) and O at (0.2009, 0.5303, 0.5025).

***

Computed, not measured: a PBEsol-optimized structure of ScSi4 at the SCAN level of DFT.

For the formation energy without anion corrections, the calculation gives -4.4 kJ per mole of atoms. As for the crystal system: tetragonal. Its density of states at the Fermi level is 1.5 states/eV/f.u.

The space group is I4/m (No. 87) and the conventional cell measures 6.5411, 6.5411 and 3.4785 Å, with angles of 90.00, 90.00 and 90.00 degrees. The asymmetric unit holds Sc at (0.0000, 0.0000, 0.0000) and Si at (0.1230, 0.6867, 0.5000).

***

Computed, not measured: a PBEsol-optimized structure of KTcAs2 at the SCAN level of DFT.

For the offset from the most stable computed form, the calculation gives 0 meV/atom. As for the crystal system: orthorhombic. As for the formation enthalpy at 0 K: 0.05 eV/atom. Its density of states at the Fermi level is 1.2 states/eV/f.u.

The space group is Immm (No. 71) and the conventional cell measures 2.9314, 6.3531 and 9.9094 Å, with angles of 90.00, 90.00 and 90.00 degrees. The asymmetric unit holds K at (0.0000, 0.0000, 0.0000), Tc at (0.0000, 0.0000, 0.5000) and As at (0.0000, 0.5000, 0.1952).

***

Computed, not measured: a PBEsol-optimized structure of Ba3In2MoO9 at the SCAN level of DFT.

For the formation energy without anion corrections, the calculation gives -241.0 kJ per mole of atoms. As for the crystal system: trigonal. Its density of states at the Fermi level is 0.0 states/eV/f.u.

The space group is P-3m1 (No. 164) and the conventional cell measures 5.8760, 5.8760 and 7.1886 Å, with angles of 90.00, 90.00 and 120.00 degrees. The asymmetric unit holds Ba at (0.0000, 0.0000, 0.0000), Ba at (0.3333, 0.6667, 0.6865), In at (0.3333, 0.6667, 0.1688), Mo at (0.0000, 0.0000, 0.5000), O at (0.0000, 0.5000, 0.0000) and O at (0.1552, 0.3104, 0.3480).

***

Computed, not measured: a PBEsol-optimized structure of GaP2RuO at the SCAN level of DFT.

For the formation energy without anion corrections, the calculation gives 71.7 kJ per mole of atoms. As for the crystal system: tetragonal. Its density of states at the Fermi level is 4.8 states/eV/f.u.

The space group is P4/mmm (No. 123) and the conventional cell measures 4.7371, 4.7371 and 3.3901 Å, with angles of 90.00, 90.00 and 90.00 degrees. The asymmetric unit holds Ga at (0.0000, 0.0000, 0.0000), P at (0.0000, 0.5000, 0.0000), Ru at (0.5000, 0.5000, 0.5000) and O at (0.0000, 0.0000, 0.5000).

***

Computed, not measured: a PBEsol-optimized structure of Cr2ReHg at the SCAN level of DFT.

As for the crystal system: tetragonal. As for the formation enthalpy at 0 K: 0.63 eV/atom. Its density of states at the Fermi level is 2.1 states/eV/f.u.

The space group is I-4m2 (No. 119) and the conventional cell measures 3.7954, 3.7954 and 7.8139 Å, with angles of 90.00, 90.00 and 90.00 degrees. The asymmetric unit holds Cr at (0.0000, 0.0000, 0.0000), Cr at (0.0000, 0.5000, 0.2500), Re at (0.0000, 0.5000, 0.7500) and Hg at (0.0000, 0.0000, 0.5000).

***

Computed, not measured: a PBEsol-optimized structure of Y3CoP at the SCAN level of DFT.

As for the crystal system: cubic. As for the formation enthalpy at 0 K: -0.23 eV/atom. Its density of states at the Fermi level is 8.4 states/eV/f.u.

The space group is Pm-3m (No. 221) and the conventional cell measures 5.1551, 5.1551 and 5.1551 Å, with angles of 90.00, 90.00 and 90.00 degrees. The asymmetric unit holds Y at (0.0000, 0.0000, 0.5000), Co at (0.5000, 0.5000, 0.5000) and P at (0.0000, 0.0000, 0.0000).

***

Computed, not measured: a PBEsol-optimized structure of Sc2Zn at the SCAN level of DFT.

As for the crystal system: cubic. As for the formation enthalpy at 0 K: -0.30 eV/atom. Its density of states at the Fermi level is 1.7 states/eV/f.u.

The space group is Fd-3m (No. 227, origin choice 2) and the conventional cell measures 12.4172, 12.4172 and 12.4172 Å, with angles of 90.00, 90.00 and 90.00 degrees. The asymmetric unit holds Sc at (0.0000, 0.0000, 0.0000), Sc at (0.0607, 0.3750, 0.8750) and Zn at (0.0365, 0.0365, 0.2135).

***

Computed, not measured: a PBEsol-optimized structure of BaBeI2 at the SCAN level of DFT.

For the formation energy without anion corrections, the calculation gives -33.4 kJ per mole of atoms. For the offset from the most stable computed form, the calculation gives 241 meV/atom. As for the crystal system: tetragonal. Its density of states at the Fermi level is 0.6 states/eV/f.u.

The space group is I-42d (No. 122) and the conventional cell measures 5.7483, 5.7483 and 20.2198 Å, with angles of 90.00, 90.00 and 90.00 degrees. The asymmetric unit holds Ba at (0.0000, 0.0000, 0.0000), Be at (0.0000, 0.0000, 0.5000) and I at (0.2165, 0.2500, 0.6250).

***

Computed, not measured: a PBEsol-optimized structure of MnNiSnPd at the SCAN level of DFT.

As for the crystal system: cubic. As for the formation enthalpy at 0 K: -0.38 eV/atom. Its density of states at the Fermi level is 1.7 states/eV/f.u.

The space group is F-43m (No. 216) and the conventional cell measures 6.1595, 6.1595 and 6.1595 Å, with angles of 90.00, 90.00 and 90.00 degrees. The asymmetric unit holds Mn at (0.0000, 0.0000, 0.0000), Ni at (0.2500, 0.2500, 0.7500), Sn at (0.0000, 0.0000, 0.5000) and Pd at (0.2500, 0.2500, 0.2500).

***

Computed, not measured: a PBEsol-optimized structure of Nb3BTe at the SCAN level of DFT.

For the formation energy without anion corrections, the calculation gives 226.9 kJ per mole of atoms. For the offset from the most stable computed form, the calculation gives 2268 meV/atom. As for the crystal system: cubic. Its density of states at the Fermi level is 6.4 states/eV/f.u.

The space group is Pm-3m (No. 221) and the conventional cell measures 4.9448, 4.9448 and 4.9448 Å, with angles of 90.00, 90.00 and 90.00 degrees. The asymmetric unit holds Nb at (0.0000, 0.0000, 0.5000), B at (0.5000, 0.5000, 0.5000) and Te at (0.0000, 0.0000, 0.0000).

***

Computed, not measured: a PBEsol-optimized structure of BiH3Se at the SCAN level of DFT.

For the total energy, the calculation gives -20.93 eV/atom. As for the crystal system: cubic. Its density of states at the Fermi level is 1.6 states/eV/f.u.

The space group is Pm-3m (No. 221) and the conventional cell measures 3.8832, 3.8832 and 3.8832 Å, with angles of 90.00, 90.00 and 90.00 degrees. The asymmetric unit holds Bi at (0.0000, 0.0000, 0.0000), H at (0.0000, 0.5000, 0.5000) and Se at (0.5000, 0.5000, 0.5000).

***

Computed, not measured: a PBEsol-optimized structure of YTl2In at the SCAN level of DFT.

As for the crystal system: tetragonal. As for the formation enthalpy at 0 K: -0.37 eV/atom. Its density of states at the Fermi level is 1.9 states/eV/f.u.

The space group is I-4m2 (No. 119) and the conventional cell measures 4.4631, 4.4631 and 10.0961 Å, with angles of 90.00, 90.00 and 90.00 degrees. The asymmetric unit holds Y at (0.0000, 0.0000, 0.0000), Tl at (0.0000, 0.0000, 0.5000), Tl at (0.0000, 0.5000, 0.7500) and In at (0.0000, 0.5000, 0.2500).

***

Computed, not measured: a PBEsol-optimized structure of Os2RuW at the SCAN level of DFT.

For the offset from the most stable computed form, the calculation gives 44 meV/atom. As for the crystal system: tetragonal. As for the formation enthalpy at 0 K: 0.03 eV/atom. Its density of states at the Fermi level is 3.0 states/eV/f.u.

The space group is I-4m2 (No. 119) and the conventional cell measures 3.8365, 3.8365 and 7.7328 Å, with angles of 90.00, 90.00 and 90.00 degrees. The asymmetric unit holds Os at (0.0000, 0.0000, 0.0000), Os at (0.0000, 0.5000, 0.2500), Ru at (0.0000, 0.5000, 0.7500) and W at (0.0000, 0.0000, 0.5000).

***

Computed, not measured: a PBEsol-optimized structure of CdP2Os at the SCAN level of DFT.

For the offset from the most stable computed form, the calculation gives 664 meV/atom. As for the crystal system: cubic. As for the formation enthalpy at 0 K: 1.07 eV/atom. Its density of states at the Fermi level is 2.1 states/eV/f.u.

The space group is F-43m (No. 216) and the conventional cell measures 6.2444, 6.2444 and 6.2444 Å, with angles of 90.00, 90.00 and 90.00 degrees. The asymmetric unit holds Cd at (0.0000, 0.0000, 0.0000), P at (0.0000, 0.0000, 0.5000), P at (0.2500, 0.2500, 0.2500) and Os at (0.2500, 0.2500, 0.7500).

***

Computed, not measured: a PBEsol-optimized structure of NaSr2Zn2 at the SCAN level of DFT.

As for the crystal system: tetragonal. As for the formation enthalpy at 0 K: -0.14 eV/atom. Its density of states at the Fermi level is 3.7 states/eV/f.u.

The space group is P4/mbm (No. 127) and the conventional cell measures 8.3646, 8.3646 and 4.4027 Å, with angles of 90.00, 90.00 and 90.00 degrees. The asymmetric unit holds Na at (0.0000, 0.0000, 0.0000), Sr at (0.1761, 0.3239, 0.5000) and Zn at (0.1107, 0.6107, 0.0000).

***

Number 1: total magnetization 3.4 μB per formula unit. Number 2: total magnetization 0.0 μB per formula unit. Number 3: total magnetization 3.7 μB per formula unit. Number 4: total magnetization 0.0 μB per formula unit. Number 5: total magnetization 0.0 μB per formula unit. Number 6: total magnetization 0.0 μB per formula unit. Number 7: total magnetization 0.0 μB per formula unit. Number 8: total magnetization 0.0 μB per formula unit. Number 9: total magnetization 1.2 μB per formula unit. Number 10: total magnetization 0.0 μB per formula unit. Number 11: total magnetization 2.3 μB per formula unit. Number 12: total magnetization 0.0 μB per formula unit. Number 13: total magnetization 0.0 μB per formula unit. Number 14: total magnetization 4.4 μB per formula unit. Number 15: total magnetization 0.0 μB per formula unit. Number 16: total magnetization 0.0 μB per formula unit. Number 17: total magnetization 0.0 μB per formula unit. Number 18: total magnetization 0.0 μB per formula unit. Number 19: total magnetization 0.0 μB per formula unit. Number 20: total magnetization 0.0 μB per formula unit.